Record 1
Mg4CuSe after structural relaxation. Source: Alexandria, functional GGA-PBE.

Values from the calculation:
SG = Pmma (51)
energy = -0.092 hartree per atom
raw formation energy = -0.1704 eV per atom
crystal system = orthorhombic

abc: 3.444 8.569 8.518
angles: 90.00 90.00 90.00
Atoms (fractional coordinates):
Mg 0.000 0.000 0.000
Mg 0.500 0.656 0.949
Mg 0.500 0.656 0.551
Mg 0.500 0.816 0.250
Mg 0.500 0.344 0.449
Mg 0.500 0.184 0.750
Mg 0.000 0.000 0.500
Mg 0.500 0.344 0.051
Se 0.000 0.783 0.750
Se 0.000 0.217 0.250
Cu 0.000 0.433 0.750
Cu 0.000 0.567 0.250

---

Record 2
MgCuSe after structural relaxation. Source: Alexandria, functional GGA-PBE.

Values from the calculation:
SG = P3m1 (156)
energy = -0.123 hartree per atom
raw formation energy = -0.2829 eV per atom
crystal system = trigonal

abc: 3.989 3.989 4.114
angles: 90.00 90.00 120.00
Atoms (fractional coordinates):
Cu 0.000 0.000 0.939
Mg 0.333 0.667 0.321
Se 0.667 0.333 0.739

---

Record 3
MgCuSe after structural relaxation. Source: Alexandria, functional GGA-PBE.

Values from the calculation:
SG = P6_3mc (186)
energy = -0.123 hartree per atom
raw formation energy = -0.2908 eV per atom
crystal system = hexagonal

abc: 3.911 3.911 8.666
angles: 90.00 90.00 120.00
Atoms (fractional coordinates):
Mg 0.333 0.667 0.425
Mg 0.667 0.333 0.925
Se 0.000 0.000 0.718
Se 0.000 0.000 0.218
Cu 0.333 0.667 0.106
Cu 0.667 0.333 0.606

---

Record 4
MgCuSe2 after structural relaxation. Source: Alexandria, functional GGA-PBE.

Values from the calculation:
SG = Pmmn (59)
energy = -0.132 hartree per atom
raw formation energy = -0.4215 eV per atom
crystal system = orthorhombic

abc: 3.639 4.871 9.136
angles: 90.00 90.00 90.00
Atoms (fractional coordinates):
Se 0.000 0.500 0.632
Se 0.000 0.000 0.904
Se 0.500 0.000 0.368
Se 0.500 0.500 0.096
Mg 0.000 0.500 0.340
Mg 0.500 0.000 0.660
Cu 0.000 0.500 0.900
Cu 0.500 0.000 0.100

---

Record 5
MgCu2Se after structural relaxation. Source: Alexandria, functional GGA-PBE.

Values from the calculation:
SG = Pmmn (59)
energy = -0.123 hartree per atom
raw formation energy = -0.0321 eV per atom
crystal system = orthorhombic

abc: 4.064 4.235 8.418
angles: 90.00 90.00 90.00
Atoms (fractional coordinates):
Se 0.000 0.500 0.351
Se 0.500 0.000 0.649
Mg 0.000 0.500 0.994
Mg 0.500 0.000 0.006
Cu 0.000 0.000 0.802
Cu 0.000 0.500 0.643
Cu 0.500 0.500 0.198
Cu 0.500 0.000 0.357

---

Record 6
MgCu3Se2 after structural relaxation. Source: Alexandria, functional GGA-PBE.

Values from the calculation:
SG = Cmcm (63)
energy = -0.128 hartree per atom
raw formation energy = -0.0103 eV per atom
crystal system = orthorhombic

abc: 6.095 6.095 6.163
angles: 90.00 90.00 74.29
Atoms (fractional coordinates):
Cu 0.312 0.436 0.250
Cu 0.688 0.564 0.750
Cu 0.150 0.850 0.250
Cu 0.564 0.688 0.250
Cu 0.850 0.150 0.750
Cu 0.436 0.312 0.750
Se 0.822 0.822 0.000
Se 0.822 0.822 0.500
Se 0.178 0.178 0.000
Se 0.178 0.178 0.500
Mg 0.762 0.238 0.250
Mg 0.238 0.762 0.750

---

Record 7
MgCu8Se4 after structural relaxation. Source: Alexandria, functional GGA-PBE.

Values from the calculation:
SG = I4/mmm (139)
energy = -0.133 hartree per atom
raw formation energy = 0.0861 eV per atom
crystal system = tetragonal

abc: 6.519 6.519 6.519
angles: 106.87 106.87 114.81
Atoms (fractional coordinates):
Se 0.000 0.000 0.500
Se 0.000 0.500 0.000
Se 0.500 0.500 0.500
Se 0.500 0.000 0.000
Cu 0.000 0.663 0.663
Cu 0.337 0.000 0.337
Cu 0.000 0.337 0.337
Cu 0.663 0.000 0.663
Cu 0.500 0.275 0.775
Cu 0.275 0.500 0.775
Cu 0.725 0.500 0.225
Cu 0.500 0.725 0.225
Mg 0.000 0.000 0.000

---

Record 8
MgCu4Se after structural relaxation. Source: Alexandria, functional GGA-PBE.

Values from the calculation:
SG = F-43m (216)
energy = -0.133 hartree per atom
raw formation energy = -0.0425 eV per atom
crystal system = cubic

abc: 4.998 4.998 4.998
angles: 60.00 60.00 60.00
Atoms (fractional coordinates):
Cu 0.376 0.376 0.376
Cu 0.376 0.376 0.873
Cu 0.376 0.873 0.376
Cu 0.873 0.376 0.376
Se 0.000 0.000 0.000
Mg 0.750 0.750 0.750

---

Record 9
MgCuSe after structural relaxation. Source: Alexandria, functional GGA-PBE.

Values from the calculation:
SG = Pmc2_1 (26)
energy = -0.125 hartree per atom
raw formation energy = -0.3338 eV per atom
crystal system = orthorhombic

abc: 3.723 6.316 10.161
angles: 90.00 90.00 90.00
Atoms (fractional coordinates):
Se 0.500 0.912 0.117
Se 0.500 0.408 0.322
Se 0.500 0.412 0.883
Se 0.500 0.908 0.678
Cu 0.500 0.802 0.369
Cu 0.500 0.792 0.898
Cu 0.500 0.292 0.102
Cu 0.500 0.302 0.631
Mg 0.000 0.642 0.182
Mg 0.000 0.119 0.445
Mg 0.000 0.142 0.818
Mg 0.000 0.619 0.555

---

Record 10
Mg3Cu4Se2 after structural relaxation. Source: Alexandria, functional GGA-PBE.

Values from the calculation:
SG = C2/m (12)
energy = -0.125 hartree per atom
raw formation energy = -0.2665 eV per atom
crystal system = monoclinic

abc: 4.533 4.533 9.633
angles: 86.53 86.53 55.77
Atoms (fractional coordinates):
Mg 0.159 0.159 0.419
Mg 0.841 0.841 0.581
Mg 0.000 0.000 0.000
Cu 0.483 0.483 0.373
Cu 0.157 0.157 0.697
Cu 0.843 0.843 0.303
Cu 0.517 0.517 0.627
Se 0.632 0.632 0.139
Se 0.368 0.368 0.861

---

Record 11
Mg2Cu2Se after structural relaxation. Source: Alexandria, functional GGA-PBE.

Values from the calculation:
SG = Cmmm (65)
energy = -0.120 hartree per atom
raw formation energy = -0.2899 eV per atom
crystal system = orthorhombic

abc: 4.174 4.174 6.534
angles: 90.00 90.00 122.09
Atoms (fractional coordinates):
Cu 0.165 0.835 0.000
Cu 0.835 0.165 0.000
Mg 0.500 0.500 0.235
Mg 0.500 0.500 0.765
Se 0.000 0.000 0.500

---

Record 12
MgCuSe4 after structural relaxation. Source: Alexandria, functional GGA-PBE.

Values from the calculation:
SG = Pmma (51)
energy = -0.124 hartree per atom
raw formation energy = -0.1009 eV per atom
crystal system = orthorhombic

abc: 3.475 7.250 10.274
angles: 90.00 90.00 90.00
Atoms (fractional coordinates):
Se 0.500 0.497 0.882
Se 0.000 0.000 0.000
Se 0.500 0.503 0.118
Se 0.000 0.000 0.500
Se 0.500 0.503 0.382
Se 0.500 0.497 0.618
Se 0.500 0.961 0.750
Se 0.500 0.039 0.250
Cu 0.000 0.301 0.250
Cu 0.000 0.699 0.750
Mg 0.000 0.252 0.750
Mg 0.000 0.748 0.250

---

Question: Among the records above, which one has the lowest raw formation energy?
Answer: MgCuSe2